No. 1
Material: KPdF
Method: DFT, PBE-GGA
State: optimized geometry

Cell lengths 4.206, 4.206, 4.035 Å; angles 90.00, 90.00, 120.00 degrees
Fractional coordinates of all 3 atoms:
K 0.000 0.000 0.000
Pd 0.667 0.333 0.500
F 0.333 0.667 0.500

Computed properties:
The energy relative to the elements, uncorrected comes out at -0.771 eV per atom. The value obtained for the theoretical density is 4.4 Mg/m³.

=====

No. 2
Material: KPdF
Method: DFT, PBE-GGA
State: optimized geometry

Cell lengths 4.624, 4.624, 7.482 Å; angles 108.25, 108.25, 60.24 degrees
Fractional coordinates of all 6 atoms:
K 0.000 0.000 0.000
K 0.209 0.209 0.616
Pd 0.439 0.439 0.308
Pd 0.773 0.773 0.310
F 0.336 0.336 0.005
F 0.541 0.541 0.609

Computed properties:
The energy relative to the elements, uncorrected comes out at -1.242 eV per atom. The value obtained for the theoretical density is 4.2 Mg/m³.

=====

No. 3
Material: KPd2F7
Method: DFT, PBE-GGA
State: optimized geometry

Cell lengths 6.938, 6.938, 4.042 Å; angles 90.00, 90.00, 125.09 degrees
Fractional coordinates of all 10 atoms:
K 0.000 0.000 0.000
Pd 0.334 0.666 0.500
Pd 0.666 0.334 0.500
F 0.043 0.344 0.500
F 0.318 0.682 0.000
F 0.344 0.043 0.500
F 0.500 0.500 0.500
F 0.656 0.957 0.500
F 0.682 0.318 0.000
F 0.957 0.656 0.500

Computed properties:
The energy relative to the elements, uncorrected comes out at -1.542 eV per atom. The value obtained for the theoretical density is 4.0 Mg/m³.

=====

No. 4
Material: K2PmPd3F12
Method: DFT, PBE-GGA
State: optimized geometry

Cell lengths 7.080, 7.080, 7.080 Å; angles 71.65, 71.65, 71.65 degrees
Fractional coordinates of all 18 atoms:
K 0.133 0.133 0.133
K 0.867 0.867 0.867
Pm 0.500 0.500 0.500
Pd 0.000 0.500 0.500
Pd 0.500 0.000 0.500
Pd 0.500 0.500 0.000
F 0.126 0.632 0.632
F 0.247 0.247 0.580
F 0.247 0.580 0.247
F 0.368 0.368 0.874
F 0.368 0.874 0.368
F 0.420 0.753 0.753
F 0.580 0.247 0.247
F 0.632 0.126 0.632
F 0.632 0.632 0.126
F 0.753 0.420 0.753
F 0.753 0.753 0.420
F 0.874 0.368 0.368

Computed properties:
The energy relative to the elements, uncorrected comes out at -2.152 eV per atom. The value obtained for the theoretical density is 4.1 Mg/m³.

=====

No. 5
Material: KPdPtF6
Method: DFT, PBE-GGA
State: optimized geometry

Cell lengths 7.565, 7.565, 7.565 Å; angles 124.61, 116.78, 88.94 degrees
Fractional coordinates of all 18 atoms:
K 0.415 0.165 0.250
K 0.585 0.835 0.750
Pd 0.000 0.000 0.500
Pd 0.000 0.500 0.000
Pt 0.000 0.500 0.500
Pt 0.500 0.500 0.000
F 0.096 0.846 0.250
F 0.172 0.434 0.348
F 0.172 0.824 0.738
F 0.184 0.434 0.750
F 0.414 0.176 0.848
F 0.414 0.566 0.238
F 0.586 0.434 0.762
F 0.586 0.824 0.152
F 0.816 0.566 0.250
F 0.828 0.176 0.262
F 0.828 0.566 0.652
F 0.904 0.154 0.750

Computed properties:
The energy relative to the elements, uncorrected comes out at -1.543 eV per atom. The value obtained for the theoretical density is 5.0 Mg/m³.

=====

No. 6
Material: K2RbPdF5
Method: DFT, PBE-GGA
State: optimized geometry

Cell lengths 7.344, 7.344, 6.355 Å; angles 90.00, 90.00, 90.00 degrees
Fractional coordinates of all 18 atoms:
K 0.177 0.323 0.000
K 0.323 0.823 0.000
K 0.677 0.177 0.000
K 0.823 0.677 0.000
Rb 0.000 0.000 0.500
Rb 0.500 0.500 0.500
Pd 0.000 0.500 0.500
Pd 0.500 0.000 0.500
F 0.000 0.000 0.000
F 0.135 0.635 0.278
F 0.135 0.635 0.722
F 0.365 0.135 0.278
F 0.365 0.135 0.722
F 0.500 0.500 0.000
F 0.635 0.865 0.278
F 0.635 0.865 0.722
F 0.865 0.365 0.278
F 0.865 0.365 0.722

Computed properties:
The energy relative to the elements, uncorrected comes out at -2.286 eV per atom. The value obtained for the theoretical density is 3.5 Mg/m³.

=====

No. 7
Material: KRb2PdF6
Method: DFT, PBE-GGA
State: optimized geometry

Cell lengths 11.665, 11.665, 11.665 Å; angles 32.34, 32.34, 32.34 degrees
Fractional coordinates of all 20 atoms:
K 0.094 0.094 0.094
K 0.906 0.906 0.906
Rb 0.233 0.233 0.233
Rb 0.360 0.360 0.360
Rb 0.640 0.640 0.640
Rb 0.767 0.767 0.767
Pd 0.000 0.000 0.000
Pd 0.500 0.500 0.500
F 0.121 0.121 0.645
F 0.121 0.645 0.121
F 0.252 0.677 0.677
F 0.323 0.323 0.748
F 0.323 0.748 0.323
F 0.355 0.879 0.879
F 0.645 0.121 0.121
F 0.677 0.252 0.677
F 0.677 0.677 0.252
F 0.748 0.323 0.323
F 0.879 0.355 0.879
F 0.879 0.879 0.355

Computed properties:
The energy relative to the elements, uncorrected comes out at -2.195 eV per atom. The value obtained for the theoretical density is 3.5 Mg/m³.

=====

No. 8
Material: KRb2PdF5
Method: DFT, PBE-GGA
State: optimized geometry

Cell lengths 7.650, 7.650, 7.650 Å; angles 147.54, 131.03, 59.99 degrees
Fractional coordinates of all 9 atoms:
K 0.000 0.000 0.000
Rb 0.290 0.790 0.500
Rb 0.710 0.210 0.500
Pd 0.500 0.500 0.000
F 0.135 0.380 0.755
F 0.375 0.620 0.755
F 0.500 0.000 0.500
F 0.625 0.380 0.245
F 0.865 0.620 0.245

Computed properties:
The energy relative to the elements, uncorrected comes out at -2.186 eV per atom. The value obtained for the theoretical density is 3.8 Mg/m³.